Record 1
The following is a GGA-PBE calculation of DyPaTcPd after structural relaxation, from Alexandria via LeMat-Bulk.

Summary:
E_form = -0.3424 eV per atom
DOS(E_F) = 4.17 states/eV/f.u.
Magnetic moment = 0.0 μB/cell
Mass density = 11.9 g/cm³

Cell: 4.9014 4.9014 4.9014 Å, 60.00 60.00 60.00°
With the nearest neighbours (Å) after each atom.
Sites, in units of the cell vectors:
Pd 0.0000 0.0000 0.0000  4 Pa 3.00, 4 Dy 3.00
Dy 0.7500 0.7500 0.7500  4 Tc 3.00, 4 Pd 3.00
Pa 0.2500 0.2500 0.2500  4 Tc 3.00, 4 Pd 3.00
Tc 0.5000 0.5000 0.5000  4 Dy 3.00, 4 Pa 3.00

Record 2
The following is a GGA-PBE calculation of DyPaTlPd after structural relaxation, from Alexandria via LeMat-Bulk.

Summary:
E_form = -0.1329 eV per atom
DOS(E_F) = 7.76 states/eV/f.u.
Magnetic moment = 1.2 μB/cell
Mass density = 11.9 g/cm³

Cell: 5.1863 5.1863 5.1863 Å, 60.00 60.00 60.00°
With the nearest neighbours (Å) after each atom.
Sites, in units of the cell vectors:
Pa 0.2500 0.2500 0.2500  4 Pd 3.18, 4 Tl 3.18
Tl 0.0000 0.0000 0.0000  4 Pa 3.18, 4 Dy 3.18
Dy 0.7500 0.7500 0.7500  4 Tl 3.18, 4 Pd 3.18
Pd 0.5000 0.5000 0.5000  4 Dy 3.18, 4 Pa 3.18

Record 3
The following is a GGA-PBE calculation of Pm2DyPa after structural relaxation, from Alexandria via LeMat-Bulk.

Summary:
E_form = 0.2516 eV per atom
DOS(E_F) = 5.96 states/eV/f.u.
Magnetic moment = 0.0 μB/cell
ΔE to the lowest computed polymorph = 91.1 meV per atom
Mass density = 9.2 g/cm³

Cell: 4.9432 4.9931 4.9931 Å, 90.00 90.00 90.00°
With the nearest neighbours (Å) after each atom.
Sites, in units of the cell vectors:
Pm 0.0000 0.0000 0.5000  4 Dy 3.51, 4 Pa 3.51, 4 Pm 3.53
Pm 0.0000 0.5000 0.0000  4 Pa 3.51, 4 Dy 3.51, 4 Pm 3.53
Dy 0.5000 0.5000 0.5000  8 Pm 3.51, 4 Pa 3.53
Pa 0.5000 0.0000 0.0000  8 Pm 3.51, 4 Dy 3.53

Record 4
The following is a GGA-PBE calculation of Pm2DyPa after structural relaxation, from Alexandria via LeMat-Bulk.

Summary:
E_form = 0.1605 eV per atom
DOS(E_F) = 6.24 states/eV/f.u.
Magnetic moment = 0.0 μB/cell
ΔE to the lowest computed polymorph = 0.0 meV per atom
Mass density = 9.2 g/cm³

Cell: 3.4389 3.4389 10.4179 Å, 90.00 90.00 90.00°
With the nearest neighbours (Å) after each atom.
Sites, in units of the cell vectors:
Dy 0.5000 0.5000 0.5000  4 Dy 3.44, 8 Pm 3.70
Pa 0.5000 0.5000 0.0000  8 Pm 3.43, 4 Pa 3.44
Pm 0.0000 0.0000 0.7675  4 Pa 3.43, 4 Pm 3.44, 4 Dy 3.70
Pm 0.0000 0.0000 0.2325  4 Pa 3.43, 4 Pm 3.44, 4 Dy 3.70